## Rb3TmBi2Se6 (PBE)

Data for Rb3TmBi2Se6 after structural relaxation. Values from VASP.

```
&SYSTEM
  ibrav = 0, nat = 12, ntyp = 4
/
ATOMIC_SPECIES
Rb 85.47 Rb.upf
Tm 168.93 Tm.upf
Bi 208.98 Bi.upf
Se 78.96 Se.upf
CELL_PARAMETERS angstrom
-5.054 0.992 -5.403
7.055 -1.694 -1.754
-2.472 -7.554 2.644
ATOMIC_POSITIONS crystal
Rb 0.170 0.830 0.500
Rb 0.830 0.170 0.500
Rb 0.500 0.500 0.500
Tm 0.000 0.000 0.000
Bi 0.334 0.666 0.000
Bi 0.666 0.334 0.000
Se 0.934 0.611 0.802
Se 0.744 0.744 0.199
Se 0.066 0.389 0.198
Se 0.611 0.934 0.802
Se 0.256 0.256 0.801
Se 0.389 0.066 0.198
```

* magnetization: 0.00 μB/cell
* calculated volume: 386.0 Å³ per cell
* SG: No. 12
* calculated density: 5.7 Mg/m³
* energy relative to the elements, uncorrected: -1100 meV/atom
* DOS(E_F): 0.00 states/eV/cell

=====

## Rb3U3BiSe8 (PBE)

Data for Rb3U3BiSe8 after structural relaxation. Values from VASP.

```
&SYSTEM
  ibrav = 0, nat = 15, ntyp = 4
/
ATOMIC_SPECIES
Rb 85.47 Rb.upf
U 238.03 U.upf
Bi 208.98 Bi.upf
Se 78.96 Se.upf
CELL_PARAMETERS angstrom
-6.995 3.408 -3.339
2.811 -7.483 -2.790
-4.075 0.056 8.594
ATOMIC_POSITIONS crystal
Rb 0.000 0.000 0.000
Rb 0.000 0.500 0.000
Rb 0.500 0.500 0.000
U 0.500 0.000 0.500
U 0.500 0.500 0.500
U 0.000 0.500 0.500
Bi 0.000 0.000 0.500
Se 0.268 0.535 0.303
Se 0.732 0.465 0.697
Se 0.762 0.525 0.303
Se 0.238 0.475 0.697
Se 0.762 0.040 0.303
Se 0.238 0.960 0.697
Se 0.278 0.040 0.303
Se 0.722 0.960 0.697
```

* magnetization: 8.00 μB/cell
* calculated volume: 506.4 Å³ per cell
* SG: No. 166
* calculated density: 5.9 Mg/m³
* energy relative to the elements, uncorrected: -1106 meV/atom
* DOS(E_F): 15.72 states/eV/cell